[1]
{
  "formula": "Zn3CdAg12",
  "functional": "PBE",
  "state": "relaxed",
  "vol_a3_per_fu": 279,
  "e_form_ev_per_atom": -0.0087,
  "dos_ef_per_ev_atom": 0.37,
  "space_group": "P4/mmm, No. 123",
  "cell": [[4.1024, 0.0000, 0.0000], [0.0000, 4.1024, 0.0000], [0.0000, 0.0000, 16.5750]],
  "species": ["Zn", "Zn", "Zn", "Cd", "Ag", "Ag", "Ag", "Ag", "Ag", "Ag", "Ag", "Ag", "Ag", "Ag", "Ag", "Ag"],
  "frac_coords": [[0.0000, 0.0000, 0.0000], [0.0000, 0.0000, 0.2462], [0.0000, 0.0000, 0.7538], [0.0000, 0.0000, 0.5000], [0.0000, 0.5000, 0.1226], [0.0000, 0.5000, 0.3685], [0.0000, 0.5000, 0.6315], [0.0000, 0.5000, 0.8774], [0.5000, 0.0000, 0.1226], [0.5000, 0.0000, 0.3685], [0.5000, 0.0000, 0.6315], [0.5000, 0.0000, 0.8774], [0.5000, 0.5000, 0.0000], [0.5000, 0.5000, 0.2453], [0.5000, 0.5000, 0.5000], [0.5000, 0.5000, 0.7547]]
}

=====

[2]
{
  "formula": "KCePb2I8",
  "functional": "PBE",
  "state": "relaxed",
  "vol_a3_per_fu": 576,
  "formation_energy_uncorrected_ev_per_atom": -0.98,
  "dos_ef_per_ev_atom": 0.67,
  "space_group": "P2/m, No. 10",
  "cell": [[7.4424, 0.0000, 0.0000], [0.0000, 9.7868, 0.0000], [-0.0989, 0.0000, 7.9075]],
  "species": ["K", "Ce", "Pb", "Pb", "I", "I", "I", "I", "I", "I", "I", "I"],
  "frac_coords": [[0.0000, 0.0000, 0.0000], [0.0000, 0.5000, 0.0000], [0.5000, 0.2470, 0.5000], [0.5000, 0.7530, 0.5000], [0.2436, 0.5000, 0.6688], [0.2503, 0.2729, 0.1566], [0.2503, 0.7271, 0.1566], [0.2651, 0.0000, 0.6359], [0.7349, 0.0000, 0.3641], [0.7497, 0.2729, 0.8434], [0.7497, 0.7271, 0.8434], [0.7564, 0.5000, 0.3312]]
}

=====

[3]
{
  "formula": "Cs2PtF4",
  "functional": "PBE",
  "state": "relaxed",
  "vol_a3_per_fu": 180,
  "formation_energy_uncorrected_ev_per_atom": -2.11,
  "e_above_lowest_polymorph_ev_per_atom": 0.000,
  "dos_ef_per_ev_atom": 0.00,
  "space_group": "P4/mmm, No. 123",
  "cell": [[6.6192, 0.0000, 0.0000], [0.0000, 6.6192, 0.0000], [0.0000, 0.0000, 4.1107]],
  "species": ["Cs", "Cs", "Pt", "F", "F", "F", "F"],
  "frac_coords": [[0.0000, 0.5000, 0.0000], [0.5000, 0.0000, 0.0000], [0.0000, 0.0000, 0.5000], [0.2154, 0.2154, 0.5000], [0.2154, 0.7846, 0.5000], [0.7846, 0.2154, 0.5000], [0.7846, 0.7846, 0.5000]]
}

=====

What did the first record say?
{
  "formula": "Zn3CdAg12",
  "functional": "PBE",
  "state": "relaxed",
  "vol_a3_per_fu": 279,
  "e_form_ev_per_atom": -0.0087,
  "dos_ef_per_ev_atom": 0.37,
  "space_group": "P4/mmm, No. 123",
  "cell": [[4.1024, 0.0000, 0.0000], [0.0000, 4.1024, 0.0000], [0.0000, 0.0000, 16.5750]],
  "species": ["Zn", "Zn", "Zn", "Cd", "Ag", "Ag", "Ag", "Ag", "Ag", "Ag", "Ag", "Ag", "Ag", "Ag", "Ag", "Ag"],
  "frac_coords": [[0.0000, 0.0000, 0.0000], [0.0000, 0.0000, 0.2462], [0.0000, 0.0000, 0.7538], [0.0000, 0.0000, 0.5000], [0.0000, 0.5000, 0.1226], [0.0000, 0.5000, 0.3685], [0.0000, 0.5000, 0.6315], [0.0000, 0.5000, 0.8774], [0.5000, 0.0000, 0.1226], [0.5000, 0.0000, 0.3685], [0.5000, 0.0000, 0.6315], [0.5000, 0.0000, 0.8774], [0.5000, 0.5000, 0.0000], [0.5000, 0.5000, 0.2453], [0.5000, 0.5000, 0.5000], [0.5000, 0.5000, 0.7547]]
}